Here is a geometry-optimized TmTh2Rh2 structure from Alexandria. Energies are from GGA-PBE.

It has space group Immm (No. 71), with a = 4.438 Å, b = 6.144 Å, c = 8.805 Å, α = 90.00°, β = 90.00° and γ = 90.00°. The asymmetric unit holds Tm at (0.000, 0.000, 0.000), Th at (0.000, 0.500, 0.197) and Rh at (0.000, 0.233, 0.500).

For the excess energy over the best structure of this formula in the dataset, the calculation gives 127 meV/atom. The density is 11.602 g/cm³. The calculation puts the formation energy at -0.65 eV per atom.

***

Here is a geometry-optimized TmThRh2 structure from Alexandria. Energies are from GGA-PBE.

It has space group Amm2 (No. 38), with a = 4.257 Å, b = 3.819 Å, c = 10.711 Å, α = 90.00°, β = 90.00° and γ = 90.00°. The asymmetric unit holds Tm at (0.000, 0.000, 0.000), Th at (0.500, 0.000, 0.722), Rh at (0.000, 0.000, 0.272) and Rh at (0.500, 0.000, 0.458).

The density is 11.571 g/cm³. The calculation puts the formation energy at -0.94 eV per atom.

***

How do the records compare in M_tot? In the order shown, they have 0.0 0.0 μB per cell.